No. 1
MnCd3Ge: PBEsol geometry, meta-GGA SCAN.

The value obtained for the calculated volume is 130 Å³ per cell. For the energy of formation, the calculation gives 0.606 eV/atom. Its final energy is -1.846 Ry per atom.

a = 5.072 Å, b = 5.072 Å, c = 5.072 Å
α = 90.00°, β = 90.00°, γ = 90.00°
Site moments in Bohr magnetons follow the coordinates.
Positions (direct):
Ge1 0.000 0.000 0.000  0.02
Mn1 0.500 0.500 0.500  4.65
Cd1 0.000 0.500 0.000  -0.01
Cd2 0.000 0.000 0.500  -0.01
Cd3 0.500 0.000 0.000  -0.01

---

No. 2
CdGeMo3: PBEsol geometry, meta-GGA SCAN.

The value obtained for the calculated volume is 96 Å³ per cell. For the energy of formation, the calculation gives 1.301 eV/atom. Its final energy is -2.170 Ry per atom.

a = 4.580 Å, b = 4.580 Å, c = 4.580 Å
α = 90.00°, β = 90.00°, γ = 90.00°
Positions (direct):
Mo1 0.000 0.500 0.000
Mo2 0.000 0.000 0.500
Mo3 0.500 0.000 0.000
Ge1 0.000 0.000 0.000
Cd1 0.500 0.500 0.500